VSnRu2 | PBE-GGA | optimized geometry

## Properties
Final energy   -60.91 eV for the cell shown
Formation enthalpy at 0 K   29.39 kJ per mole of atoms
SG   I-42d
DOS(E_F)   6.02 states/eV per cell

The structure in POSCAR format:
```
VSnRu2
1.0
6.996 0.000 0.000
0.000 6.996 0.000
3.498 3.498 2.791
Ru Sn V
4 2 2
direct
0.875 0.819 0.750
0.375 0.431 0.750
0.181 0.625 0.250
0.569 0.125 0.250
0.000 0.000 0.000
0.750 0.250 0.500
0.250 0.750 0.500
0.500 0.500 0.000
```



V6SnRu | PBE-GGA | optimized geometry

## Properties
Final energy   -67.78 eV for the cell shown
Formation enthalpy at 0 K   2.48 kJ per mole of atoms
SG   C2
DOS(E_F)   8.97 states/eV per cell

The structure in POSCAR format:
```
V6SnRu
1.0
4.535 -0.175 -0.102
-0.362 4.763 -2.977
-0.362 -0.275 5.610
V Ru Sn
6 1 1
direct
0.500 0.423 0.577
0.000 0.067 0.933
0.476 0.415 0.046
0.987 0.552 0.914
0.013 0.086 0.448
0.524 0.954 0.585
0.500 0.927 0.073
0.000 0.576 0.424
```



VZnSnRu2 | PBE-GGA | optimized geometry

## Properties
Final energy   -28.64 eV for the cell shown
Formation enthalpy at 0 K   83.10 kJ per mole of atoms
SG   P4/mmm
DOS(E_F)   4.61 states/eV per cell

The structure in POSCAR format:
```
VZnSnRu2
1.0
-3.528 0.467 2.800
-2.399 -3.670 -2.411
1.829 -3.043 2.812
Zn V Ru Sn
1 1 2 1
direct
0.000 0.500 0.000
0.000 0.000 0.000
0.500 0.000 0.000
0.000 0.000 0.500
0.500 0.500 0.500
```



SnRuW | PBE-GGA | optimized geometry

## Properties
Final energy   -51.39 eV for the cell shown
Formation enthalpy at 0 K   17.21 kJ per mole of atoms
SG   I4mm
DOS(E_F)   2.67 states/eV per cell

The structure in POSCAR format:
```
SnRuW
1.0
-0.840 2.855 0.001
-2.845 -0.837 0.247
0.908 0.264 11.342
W Sn Ru
2 2 2
direct
0.500 0.500 0.584
0.000 0.000 0.084
0.000 0.000 0.398
0.500 0.500 0.898
0.500 0.500 0.230
0.000 0.000 0.730
```



SnRuW | PBE-GGA | optimized geometry

## Properties
Final energy   -51.66 eV for the cell shown
Formation enthalpy at 0 K   12.90 kJ per mole of atoms
SG   Pm
DOS(E_F)   4.26 states/eV per cell

The structure in POSCAR format:
```
SnRuW
1.0
5.783 0.000 0.001
0.000 3.067 0.000
-1.445 0.000 6.016
W Sn Ru
2 2 2
direct
0.977 0.000 0.665
0.482 0.000 0.667
0.642 0.500 0.322
0.124 0.000 0.242
0.795 0.500 0.930
0.294 0.500 0.922
```



SnRuW | PBE-GGA | optimized geometry

## Properties
Final energy   -52.04 eV for the cell shown
Formation enthalpy at 0 K   6.77 kJ per mole of atoms
SG   I4/mmm
DOS(E_F)   5.22 states/eV per cell

The structure in POSCAR format:
```
SnRuW
1.0
-0.433 -2.012 2.417
-0.109 -2.428 -2.041
11.006 0.984 0.709
Ru Sn W
2 2 2
direct
0.859 0.859 0.717
0.141 0.141 0.283
0.434 0.434 0.868
0.566 0.566 0.132
0.284 0.284 0.567
0.716 0.716 0.433
```